A plane-wave DFT calculation with GGA-PBE was carried out for a relaxed structure of KSrSeO4.

a = 6.678 Å, b = 6.927 Å, c = 6.927 Å
α = 63.22°, β = 61.18°, γ = 61.18°
Each line ends with the local moment (μB).
Sites, in units of the cell vectors:
1 Se 0.623 0.627 0.127  0.10
2 Se 0.377 0.373 0.873  0.10
3 Sr 0.000 0.000 0.000  0.03
4 Sr 0.000 0.500 0.500  0.03
5 O 0.729 0.715 0.827  0.07
6 O 0.238 0.270 0.770  0.15
7 O 0.277 0.730 0.230  0.15
8 O 0.762 0.730 0.230  0.15
9 O 0.723 0.270 0.770  0.15
10 O 0.271 0.285 0.173  0.07
11 O 0.729 0.327 0.215  0.07
12 O 0.271 0.673 0.785  0.07
13 K 0.500 0.000 0.500  0.01
14 K 0.000 0.000 0.500  0.01

Summary:
uncorrected formation energy: -33.1 kcal/mol of atoms
D(E_F): 2.330 states/eV/f.u.
SG: No. 74
crystal system: orthorhombic
mass density: 3797 kg/m3

=====

A plane-wave DFT calculation with GGA-PBE was carried out for a relaxed structure of ZrZn2In.

a = 4.480 Å, b = 3.091 Å, c = 5.643 Å
α = 89.94°, β = 90.00°, γ = 90.00°
Sites, in units of the cell vectors:
1 Zn 0.000 0.751 0.027
2 Zn 0.000 0.749 0.473
3 In 0.500 0.750 0.750
4 Zr 0.500 0.250 0.250

Summary:
D(E_F): 3.027 states/eV/f.u.
SG: No. 47
crystal system: orthorhombic
mass density: 7159 kg/m3
energy of formation from the pure elements: -14.2 kJ per mole of atoms

=====

| no. | E (eV for the cell shown) |
| --- | --- |
| 1 | -72.3 |
| 2 | -14.4 |